PrTmCr2O8 | PBE+U | relaxed

The final energy comes out at -7.6208 eV/atom. The total magnetization is 0.167 μB/atom.

It has space group I-4m2 (No. 119), with a = 7.3126 Å, b = 7.3126 Å, c = 6.3469 Å, α = 90.00°, β = 90.00° and γ = 90.00°. The distinct sites, in fractional coordinates, are Pr at (0.0000, 0.0000, 0.0000), Tm at (0.0000, 0.5000, 0.7500), Cr at (0.0000, 0.0000, 0.5000), Cr at (0.0000, 0.5000, 0.2500), O at (0.0000, 0.1876, 0.6665) and O at (0.0000, 0.3228, 0.0718).